1.
The following is a PBE-GGA calculation of a relaxed CsNbP2O8 crystal, from OQMD.

Output
calculated total energy	-0.275	Ha/atom
SG	C2/m (12)
theoretical density	3.59	g/cm³
V	193	Å³/cell
magnetization	0.0	μB/f.u.

abc: 5.061 5.061 8.480
angles: 86.82 86.85 62.68
Positions (direct):
O 0.306 0.777 0.160
O 0.777 0.306 0.160
O 0.223 0.694 0.840
O 0.682 0.681 0.371
O 0.218 0.217 0.921
O 0.694 0.223 0.840
O 0.318 0.319 0.629
O 0.782 0.783 0.079
Cs 0.000 0.000 0.500
Nb 0.000 0.000 0.000
P 0.640 0.640 0.203
P 0.360 0.360 0.797



2.
The following is a PBE-GGA calculation of a relaxed ErTmPu crystal, from OQMD.

Output
calculated total energy	-0.254	Ha/atom
SG	F-43m (216)
theoretical density	9.08	g/cm³
V	106	Å³/cell
energy of formation	77.52	kJ/mol of atoms
magnetization	6.7	μB/f.u.

abc: 5.314 5.314 5.314
angles: 60.00 60.00 60.00
Positions (direct):
Pu 0.750 0.750 0.750
Er 0.250 0.250 0.250
Tm 0.000 0.000 0.000



3.
The following is a PBE-GGA calculation of a relaxed LiYNbIr crystal, from OQMD.

Output
calculated total energy	-0.258	Ha/atom
SG	F-43m (216)
theoretical density	8.68	g/cm³
V	73	Å³/cell
magnetization	0.0	μB/f.u.

abc: 4.688 4.688 4.688
angles: 60.00 60.00 60.00
Positions (direct):
Ir 0.250 0.250 0.250
Nb 0.500 0.500 0.500
Y 0.000 0.000 0.000
Li 0.750 0.750 0.750



4.
The following is a PBE-GGA calculation of a relaxed Y2FeNi2 crystal, from OQMD.

Output
calculated total energy	-0.241	Ha/atom
SG	I4/mmm (139)
theoretical density	6.30	g/cm³
V	93	Å³/cell
energy of formation	-8.89	kJ/mol of atoms
magnetization	2.3	μB/f.u.

abc: 5.429 5.429 5.429
angles: 129.63 129.63 74.00
Site moments in Bohr magnetons follow the coordinates.
Positions (direct):
Y 0.309 0.309 0.000  -0.13
Y 0.691 0.691 0.000  -0.13
Ni 0.000 0.500 0.500  0.31
Ni 0.500 0.000 0.500  0.42
Fe 0.000 0.000 0.000  2.06



5.
The following is a PBE-GGA calculation of a relaxed YTm2Fe9 crystal, from OQMD.

Output
calculated total energy	-0.280	Ha/atom
SG	R-3m (166)
theoretical density	8.78	g/cm³
V	176	Å³/cell
energy of formation	-9.92	kJ/mol of atoms
magnetization	15.8	μB/f.u.

abc: 8.517 8.517 8.517
angles: 34.38 34.38 34.38
Site moments in Bohr magnetons follow the coordinates.
Positions (direct):
Tm 0.142 0.142 0.142  -0.59
Tm 0.858 0.858 0.858  -0.59
Fe 0.081 0.583 0.583  1.83
Fe 0.919 0.417 0.417  1.83
Fe 0.333 0.333 0.333  2.18
Fe 0.500 0.500 0.500  1.68
Fe 0.417 0.919 0.417  1.95
Fe 0.583 0.081 0.583  1.95
Fe 0.583 0.583 0.081  1.86
Fe 0.417 0.417 0.919  1.86
Fe 0.667 0.667 0.667  2.18
Y 0.000 0.000 0.000  -0.29



6.
The following is a PBE-GGA calculation of a relaxed LuRe2Mo crystal, from OQMD.

Output
calculated total energy	-0.365	Ha/atom
SG	F-43m (216)
theoretical density	16.14	g/cm³
V	66	Å³/cell
energy of formation	11.55	kJ/mol of atoms
magnetization	0.0	μB/f.u.

abc: 4.540 4.540 4.540
angles: 60.00 60.00 60.00
Positions (direct):
Re 0.750 0.750 0.750
Re 0.000 0.000 0.000
Mo 0.250 0.250 0.250
Lu 0.500 0.500 0.500



7.
The following is a PBE-GGA calculation of a relaxed HfMgFeB crystal, from OQMD.

Output
calculated total energy	-0.225	Ha/atom
SG	F-43m (216)
theoretical density	8.52	g/cm³
V	53	Å³/cell
magnetization	0.6	μB/f.u.

abc: 4.204 4.204 4.204
angles: 60.00 60.00 60.00
Positions (direct):
Mg 0.500 0.500 0.500
B 0.000 0.000 0.000
Hf 0.250 0.250 0.250
Fe 0.750 0.750 0.750



8.
The following is a PBE-GGA calculation of a relaxed SrLiMoIr crystal, from OQMD.

Output
calculated total energy	-0.198	Ha/atom
SG	F-43m (216)
theoretical density	9.04	g/cm³
V	70	Å³/cell
magnetization	0.0	μB/f.u.

abc: 4.633 4.633 4.633
angles: 60.00 60.00 60.00
Positions (direct):
Sr 0.500 0.500 0.500
Li 0.750 0.750 0.750
Mo 0.250 0.250 0.250
Ir 0.000 0.000 0.000



9.
The following is a PBE-GGA calculation of a relaxed Zr4B3S crystal, from OQMD.

Output
calculated total energy	-0.298	Ha/atom
SG	P6_3/mmc (194)
theoretical density	5.70	g/cm³
V	250	Å³/cell
magnetization	0.0	μB/f.u.

abc: 3.487 3.487 23.765
angles: 90.00 90.00 120.00
Positions (direct):
S 0.333 0.667 0.250
S 0.667 0.333 0.750
B 0.000 0.000 0.000
B 0.667 0.333 0.379
B 0.000 0.000 0.500
B 0.333 0.667 0.621
B 0.333 0.667 0.879
B 0.667 0.333 0.121
Zr 0.667 0.333 0.561
Zr 0.667 0.333 0.939
Zr 0.000 0.000 0.175
Zr 0.000 0.000 0.675
Zr 0.333 0.667 0.439
Zr 0.333 0.667 0.061
Zr 0.000 0.000 0.825
Zr 0.000 0.000 0.325



10.
The following is a PBE-GGA calculation of a relaxed Na2Nb2S3O crystal, from OQMD.

Output
calculated total energy	-0.234	Ha/atom
SG	P3m1 (156)
theoretical density	4.39	g/cm³
V	130	Å³/cell
magnetization	0.0	μB/f.u.

abc: 3.295 3.295 13.836
angles: 90.00 90.00 120.00
Positions (direct):
S 0.667 0.333 0.360
S 0.000 0.000 0.653
S 0.667 0.333 0.129
Nb 0.333 0.667 0.245
Nb 0.333 0.667 0.768
Na 0.333 0.667 0.980
Na 0.333 0.667 0.505
O 0.000 0.000 0.860



11.
The following is a PBE-GGA calculation of a relaxed KAgMo crystal, from OQMD.

Output
calculated total energy	-0.124	Ha/atom
SG	F-43m (216)
theoretical density	4.34	g/cm³
V	93	Å³/cell
magnetization	4.3	μB/f.u.

abc: 5.086 5.086 5.086
angles: 60.00 60.00 60.00
Positions (direct):
K 0.250 0.250 0.250
Mo 0.750 0.750 0.750
Ag 0.000 0.000 0.000



12.
The following is a PBE-GGA calculation of a relaxed TbDyAl2Pd4 crystal, from OQMD.

Output
calculated total energy	-0.207	Ha/atom
SG	P-6m2 (187)
theoretical density	8.80	g/cm³
V	151	Å³/cell
magnetization	0.0	μB/f.u.

abc: 4.373 4.373 9.123
angles: 90.00 90.00 120.00
Positions (direct):
Pd 0.667 0.333 0.171
Pd 0.333 0.667 0.330
Pd 0.667 0.333 0.829
Pd 0.333 0.667 0.670
Tb 0.333 0.667 0.000
Dy 0.667 0.333 0.500
Al 0.000 0.000 0.250
Al 0.000 0.000 0.750



13.
The following is a PBE-GGA calculation of a relaxed Lu4ZnPC2 crystal, from OQMD.

Output
calculated total energy	-0.219	Ha/atom
SG	P-6m2 (187)
theoretical density	9.00	g/cm³
V	151	Å³/cell
magnetization	0.5	μB/f.u.

abc: 3.605 3.605 13.452
angles: 90.00 90.00 120.00
Site moments in Bohr magnetons follow the coordinates.
Positions (direct):
Lu 0.667 0.333 0.329  0.11
Lu 0.000 0.000 0.136  0.01
Lu 0.667 0.333 0.671  0.11
Lu 0.000 0.000 0.864  0.01
C 0.333 0.667 0.242  -0.01
C 0.333 0.667 0.758  -0.01
Zn 0.000 0.000 0.500  0.06
P 0.667 0.333 0.000  0.00



14.
The following is a PBE-GGA calculation of a relaxed Y3Mg3AlCuAu crystal, from OQMD.

Output
calculated total energy	-0.157	Ha/atom
SG	P-6 (174)
theoretical density	5.11	g/cm³
V	204	Å³/cell
magnetization	0.0	μB/f.u.

abc: 7.659 7.659 4.008
angles: 90.00 90.00 120.00
Positions (direct):
Mg 0.756 0.759 0.000
Mg 0.003 0.244 0.000
Mg 0.241 0.997 0.000
Cu 0.000 0.000 0.500
Y 0.412 0.403 0.500
Y 0.991 0.588 0.500
Y 0.597 0.009 0.500
Al 0.333 0.667 0.000
Au 0.667 0.333 0.000



15.
The following is a PBE-GGA calculation of a relaxed DyY3Te2C2 crystal, from OQMD.

Output
calculated total energy	-0.256	Ha/atom
SG	P3m1 (156)
theoretical density	6.57	g/cm³
V	179	Å³/cell
magnetization	0.0	μB/f.u.

abc: 3.838 3.838 14.040
angles: 90.00 90.00 120.00
Positions (direct):
Y 0.667 0.333 0.407
Y 0.000 0.000 0.593
Y 0.667 0.333 0.094
Te 0.667 0.333 0.750
Te 0.000 0.000 0.250
Dy 0.000 0.000 0.907
C 0.333 0.667 0.000
C 0.333 0.667 0.500



16.
The following is a PBE-GGA calculation of a relaxed TlCuTeIrS2 crystal, from OQMD.

Output
calculated total energy	-0.168	Ha/atom
SG	Cmcm (63)
theoretical density	7.92	g/cm³
V	273	Å³/cell
magnetization	0.0	μB/f.u.

abc: 7.775 7.775 9.951
angles: 90.00 90.00 152.98
Positions (direct):
Cu 0.561 0.439 0.250
Cu 0.439 0.561 0.750
S 0.397 0.603 0.966
S 0.397 0.603 0.534
S 0.603 0.397 0.466
S 0.603 0.397 0.034
Ir 0.000 0.000 0.000
Ir 0.000 0.000 0.500
Te 0.073 0.927 0.750
Te 0.927 0.073 0.250
Tl 0.227 0.773 0.250
Tl 0.773 0.227 0.750



17.
The following is a PBE-GGA calculation of a relaxed Gd2Te4O11 crystal, from OQMD.

Output
calculated total energy	-0.233	Ha/atom
SG	C2/c (15)
theoretical density	6.82	g/cm³
V	488	Å³/cell
magnetization	0.0	μB/f.u.

abc: 5.126 6.710 15.644
angles: 92.04 99.43 112.45
Positions (direct):
O 0.614 0.750 0.750
O 0.307 0.970 0.555
O 0.719 0.470 0.055
O 0.727 0.684 0.546
O 0.281 0.530 0.945
O 0.055 0.868 0.369
O 0.997 0.816 0.954
O 0.318 0.632 0.131
O 0.682 0.368 0.869
O 0.693 0.030 0.445
O 0.273 0.316 0.454
O 0.509 0.951 0.901
O 0.386 0.250 0.250
O 0.843 0.451 0.401
O 0.957 0.867 0.172
O 0.945 0.132 0.631
O 0.157 0.549 0.599
O 0.043 0.133 0.828
O 0.491 0.049 0.099
O 0.003 0.184 0.046
O 0.583 0.367 0.672
O 0.417 0.633 0.328
Te 0.302 0.453 0.704
Te 0.698 0.547 0.296
Te 0.354 0.953 0.204
Te 0.646 0.047 0.796
Te 0.971 0.378 0.130
Te 0.037 0.878 0.630
Te 0.963 0.122 0.370
Te 0.029 0.622 0.870
Gd 0.336 0.201 0.963
Gd 0.664 0.799 0.037
Gd 0.672 0.299 0.537
Gd 0.328 0.701 0.463



18.
The following is a PBE-GGA calculation of a relaxed Al2ZnCu4Ni crystal, from OQMD.

Output
calculated total energy	-0.141	Ha/atom
SG	P4/mmm (123)
theoretical density	7.21	g/cm³
V	100	Å³/cell
magnetization	0.0	μB/f.u.

abc: 4.123 4.123 5.858
angles: 90.00 90.00 90.00
Positions (direct):
Al 0.500 0.500 0.500
Al 0.000 0.000 0.000
Zn 0.000 0.000 0.500
Cu 0.500 0.000 0.248
Cu 0.000 0.500 0.248
Cu 0.500 0.000 0.752
Cu 0.000 0.500 0.752
Ni 0.500 0.500 0.000



19.
The following is a PBE-GGA calculation of a relaxed TmMoP2 crystal, from OQMD.

Output
calculated total energy	-0.253	Ha/atom
SG	I-42d (122)
theoretical density	5.68	g/cm³
V	191	Å³/cell
magnetization	0.0	μB/f.u.

abc: 7.217 7.217 7.217
angles: 134.06 134.06 67.00
Positions (direct):
P 0.875 0.318 0.943
P 0.068 0.125 0.443
P 0.682 0.625 0.557
P 0.375 0.932 0.057
Tm 0.250 0.750 0.500
Tm 0.500 0.500 0.000
Mo 0.000 0.000 0.000
Mo 0.750 0.250 0.500



20.
The following is a PBE-GGA calculation of a relaxed GdHo2Al3CuSi2 crystal, from OQMD.

Output
calculated total energy	-0.185	Ha/atom
SG	Amm2 (38)
theoretical density	6.60	g/cm³
V	173	Å³/cell
magnetization	0.0	μB/f.u.

abc: 4.173 6.923 6.923
angles: 120.10 90.00 90.00
Positions (direct):
Cu 0.000 0.003 0.003
Al 0.500 0.001 0.763
Al 0.500 0.763 0.001
Al 0.500 0.237 0.237
Si 0.500 0.331 0.667
Si 0.500 0.667 0.331
Ho 0.000 0.999 0.406
Ho 0.000 0.406 0.999
Gd 0.000 0.593 0.593



21.
The following is a PBE-GGA calculation of a relaxed TbNbGe crystal, from OQMD.

Output
calculated total energy	-0.240	Ha/atom
SG	F-43m (216)
theoretical density	7.72	g/cm³
V	70	Å³/cell
magnetization	1.1	μB/f.u.

abc: 4.621 4.621 4.621
angles: 60.00 60.00 60.00
Positions (direct):
Tb 0.750 0.750 0.750
Nb 0.250 0.250 0.250
Ge 0.000 0.000 0.000



22.
The following is a PBE-GGA calculation of a relaxed Tb2Ho2C crystal, from OQMD.

Output
calculated total energy	-0.207	Ha/atom
SG	P-3m1 (164)
theoretical density	8.21	g/cm³
V	133	Å³/cell
magnetization	0.0	μB/f.u.

abc: 3.555 3.555 12.186
angles: 90.00 90.00 120.00
Positions (direct):
Ho 0.333 0.667 0.612
Ho 0.667 0.333 0.388
Tb 0.333 0.667 0.113
Tb 0.667 0.333 0.887
C 0.000 0.000 0.000



23.
The following is a PBE-GGA calculation of a relaxed NdHoCu2 crystal, from OQMD.

Output
calculated total energy	-0.162	Ha/atom
SG	Pmn2_1 (31)
theoretical density	8.12	g/cm³
V	179	Å³/cell
energy of formation	-21.97	kJ/mol of atoms
magnetization	0.0	μB/f.u.

abc: 4.514 7.242 5.461
angles: 90.00 90.00 90.00
Positions (direct):
Cu 0.000 0.703 0.623
Cu 0.500 0.769 0.372
Cu 0.500 0.297 0.123
Cu 0.000 0.231 0.872
Nd 0.000 0.071 0.370
Nd 0.500 0.929 0.870
Ho 0.000 0.567 0.135
Ho 0.500 0.433 0.635



24.
The following is a PBE-GGA calculation of a relaxed SmAlPt crystal, from OQMD.

Output
calculated total energy	-0.212	Ha/atom
SG	Pnma (62)
theoretical density	9.35	g/cm³
V	264	Å³/cell
magnetization	0.0	μB/f.u.

abc: 5.412 4.431 11.029
angles: 90.00 90.00 90.00
Positions (direct):
Al 0.354 0.250 0.344
Al 0.646 0.750 0.656
Al 0.854 0.250 0.156
Al 0.146 0.750 0.844
Sm 0.141 0.250 0.632
Sm 0.641 0.250 0.868
Sm 0.859 0.750 0.368
Sm 0.359 0.750 0.132
Pt 0.855 0.750 0.047
Pt 0.645 0.250 0.547
Pt 0.355 0.750 0.453
Pt 0.145 0.250 0.953